# TeSeS

An optimized crystal structure of TeSeS (PBE-GGA, the Alexandria database).

- Magnetization: 0.000 μB/atom
- Energy relative to the elements, uncorrected: 0.039 eV/atom
- Polymorph energy (0 for the lowest one): 3 meV per atom
- Crystal system: trigonal

Geometry as extended XYZ:
```
3
Lattice="-1.256 -0.293 6.458 3.508 -1.608 0.609 -0.412 3.884 0.096" Properties=species:S:1:pos:R:3 pbc="T T T"
S -0.120 -0.028 0.615
Te 1.795 0.128 2.526
Se 0.164 1.883 4.022
```

# Te3Se5S12

An optimized crystal structure of Te3Se5S12 (PBE-GGA, the Alexandria database).

- Magnetization: 0.000 μB/atom
- Energy relative to the elements, uncorrected: 0.495 eV/atom
- Crystal system: cubic

Geometry as extended XYZ:
```
80
Lattice="14.135 0.000 0.000 -4.712 13.326 0.000 -4.712 -6.663 11.541" Properties=species:S:1:pos:R:3 pbc="T T T"
Se 1.178 -3.332 8.656
S -1.236 -1.000 5.535
Te 1.178 6.663 2.885
S -4.181 4.831 11.305
S 1.119 8.625 7.672
S -5.991 4.066 7.908
Se 1.178 4.165 10.098
S 3.592 -1.961 3.869
Se -4.712 3.332 5.771
Te -3.534 2.499 10.098
Se 5.890 5.830 4.328
S -3.592 5.663 6.006
Te -1.178 5.830 7.213
Te 3.534 0.000 8.656
S -1.076 5.180 9.836
Se 4.712 6.663 0.000
Te 8.245 4.165 1.443
S 5.402 -1.946 11.109
S -2.886 -4.831 11.305
Se -1.178 10.828 1.443
S 5.403 1.347 10.072
S -1.280 7.776 5.338
S 2.886 -2.211 7.240
S 3.636 5.550 5.338
S 6.377 6.065 1.901
Se 7.067 0.000 0.000
S -5.242 9.283 4.066
Se 8.245 -0.833 7.213
S -2.886 2.620 7.476
S -1.665 0.599 9.640
S 8.304 1.000 5.535
S 8.893 1.833 0.236
Te 5.890 0.833 4.328
Se -1.178 0.833 7.213
S 9.954 -2.620 7.476
S 3.047 8.011 1.469
Te -3.534 -2.499 10.098
Te 3.534 7.496 7.213
S -0.691 5.316 1.469
Se -3.534 7.496 4.328
S 5.948 7.663 6.006
S 5.788 1.484 1.705
S 5.991 -1.113 6.203
Te -5.890 6.663 8.656
S 7.598 4.044 4.066
Se 3.534 9.995 2.885
S -3.432 11.843 1.705
S 3.047 4.717 0.432
S -1.119 0.962 2.137
S 4.181 2.211 7.240
S 10.114 7.262 1.901
Se 0.000 0.000 0.000
S 5.831 5.702 9.404
S 7.598 11.494 0.236
Te 8.245 9.162 1.443
Se 5.890 3.332 8.656
S 1.236 4.702 7.672
Se -2.356 -3.332 5.771
S 1.665 1.946 11.109
S 5.788 10.730 3.633
S 10.703 2.597 3.633
Se 4.712 -3.332 5.771
S 8.143 -5.180 9.836
Se -2.356 6.663 0.000
Se 2.356 3.332 5.771
Te 10.601 0.000 2.885
S 3.475 1.961 3.869
Se 3.534 2.499 1.443
S 1.665 -1.347 10.072
Se -1.178 3.332 2.885
Se 5.890 -4.165 10.098
S 0.530 4.452 4.301
Te 1.178 -0.833 4.328
S -0.691 8.609 0.432
S 1.825 8.874 4.301
S -5.402 -0.599 9.640
S 8.187 -0.962 2.137
S -1.076 -4.066 7.908
S -3.475 7.625 9.404
S 1.076 1.113 6.203
```

# Te4Se3S2

An optimized crystal structure of Te4Se3S2 (PBE-GGA, the Alexandria database).

- Magnetization: 0.000 μB/atom
- Energy relative to the elements, uncorrected: 0.138 eV/atom
- Crystal system: monoclinic

Geometry as extended XYZ:
```
18
Lattice="-5.180 5.132 -4.485 8.337 -3.537 -4.903 -3.480 -9.502 1.920" Properties=species:S:1:pos:R:3 pbc="T T T"
Te -1.020 -8.161 -4.781
S 2.920 -6.529 -4.484
S -2.458 -5.370 -5.116
Te 2.782 -8.628 -1.985
Te 0.698 0.255 -2.687
S 2.136 -2.536 -2.352
Se 3.847 -0.446 -5.710
Se 0.015 -5.801 -1.967
Te -3.105 0.722 -5.483
Se -4.170 -7.460 -1.758
Se -7.456 -2.278 -2.921
Te 0.728 -5.792 -4.537
Se -0.338 -2.105 -5.501
Te -1.050 -2.114 -2.931
Te 4.564 -9.216 -4.268
Se 7.134 -5.628 -4.547
S -3.243 -1.377 -2.985
Te -4.886 1.310 -3.201
```

# TeSe2S

An optimized crystal structure of TeSe2S (PBE-GGA, the Alexandria database).

- Magnetization: 0.000 μB/atom
- Energy relative to the elements, uncorrected: 0.572 eV/atom
- Polymorph energy (0 for the lowest one): 439 meV per atom
- Crystal system: cubic

Geometry as extended XYZ:
```
4
Lattice="-0.085 -3.814 -3.109 -4.251 -1.428 -2.027 -0.814 0.752 -4.795" Properties=species:S:1:pos:R:3 pbc="T T T"
Se -3.862 -3.367 -7.448
S 0.000 0.000 0.000
Te -2.575 -2.245 -4.966
Se -1.287 -1.122 -2.483
```

# Te2SeS6

An optimized crystal structure of Te2SeS6 (PBE-GGA, the Alexandria database).

- Magnetization: 0.000 μB/atom
- Energy relative to the elements, uncorrected: 0.118 eV/atom
- Crystal system: triclinic

Geometry as extended XYZ:
```
9
Lattice="-1.495 -0.020 3.905 -8.732 -4.840 -3.655 3.897 -4.337 1.295" Properties=species:S:1:pos:R:3 pbc="T T T"
S -3.814 -6.564 2.596
S -4.898 -3.787 1.364
Te 1.398 -3.563 2.591
S -1.432 -5.409 0.180
Se 0.000 0.000 0.000
S -2.515 -2.632 -1.052
Te -7.728 -5.633 -1.047
S -4.099 -5.486 -1.634
S -2.231 -3.710 3.178
```

# TeSe3S

An optimized crystal structure of TeSe3S (PBE-GGA, the Alexandria database).

- Magnetization: 0.000 μB/atom
- Energy relative to the elements, uncorrected: 0.566 eV/atom
- Polymorph energy (0 for the lowest one): 0 meV per atom
- Crystal system: cubic

Geometry as extended XYZ:
```
5
Lattice="-3.905 -0.618 2.900 1.085 -4.760 0.446 2.759 0.997 3.928" Properties=species:S:1:pos:R:3 pbc="T T T"
Se 1.380 0.499 1.964
Te -0.030 -2.191 3.637
Se 0.543 -2.380 0.223
Se -1.952 -0.309 1.450
S 0.000 0.000 0.000
```

# TeSeS3

An optimized crystal structure of TeSeS3 (PBE-GGA, the Alexandria database).

- Magnetization: 0.000 μB/atom
- Energy relative to the elements, uncorrected: 0.696 eV/atom
- Polymorph energy (0 for the lowest one): 643 meV per atom
- Crystal system: cubic

Geometry as extended XYZ:
```
5
Lattice="4.791 0.000 0.000 0.000 4.791 0.000 0.000 0.000 4.791" Properties=species:S:1:pos:R:3 pbc="T T T"
S 0.000 2.395 0.000
S 0.000 0.000 2.395
Se 0.000 0.000 0.000
S 2.395 0.000 0.000
Te 2.395 2.395 2.395
```

# TeSe3S6

An optimized crystal structure of TeSe3S6 (PBE-GGA, the Alexandria database).

- Magnetization: 0.000 μB/atom
- Energy relative to the elements, uncorrected: 0.185 eV/atom
- Crystal system: monoclinic

Geometry as extended XYZ:
```
20
Lattice="3.824 0.000 0.155 0.000 6.307 0.000 2.266 0.000 24.596" Properties=species:S:1:pos:R:3 pbc="T T T"
S 1.569 1.330 7.312
Se 3.428 0.204 18.668
S 2.325 2.240 23.134
S 1.851 1.123 1.593
S 1.194 4.277 10.782
Se 1.883 3.358 18.303
Te 3.045 3.154 12.375
Se 1.133 0.000 12.298
Se 2.662 6.103 6.083
Te 0.000 0.000 0.000
Se 4.208 2.950 6.447
S 1.476 4.484 5.063
S 4.239 5.184 23.158
Se 1.912 3.154 0.078
S 4.896 2.031 13.968
S 3.766 4.068 1.617
S 3.104 0.914 10.913
S 4.521 4.978 17.439
S 4.614 1.824 19.687
S 2.986 5.393 13.837
```

# TeSeS

An optimized crystal structure of TeSeS (PBE-GGA, the Alexandria database).

- Magnetization: 0.000 μB/atom
- Energy relative to the elements, uncorrected: 0.036 eV/atom
- Polymorph energy (0 for the lowest one): 0 meV per atom
- Crystal system: monoclinic

Geometry as extended XYZ:
```
12
Lattice="-2.327 1.878 -2.524 -3.989 -8.420 -2.588 -6.540 0.629 6.499" Properties=species:S:1:pos:R:3 pbc="T T T"
Te -7.833 -2.242 4.037
S -3.887 -0.494 1.700
S -3.704 -1.523 -2.268
Se -5.104 -4.175 0.082
Te -6.558 -6.767 -0.506
Se -6.379 0.350 4.626
S -9.152 -4.389 3.655
S -8.969 -5.418 -0.313
Se -7.752 -1.738 1.304
Te -5.023 -3.670 -2.650
Se -6.477 -6.262 -3.239
Te -6.298 0.855 1.893
```

# Te2Se4S

An optimized crystal structure of Te2Se4S (PBE-GGA, the Alexandria database).

- Magnetization: 0.000 μB/atom
- Energy relative to the elements, uncorrected: 0.116 eV/atom
- Crystal system: triclinic

Geometry as extended XYZ:
```
14
Lattice="-9.735 5.801 0.792 2.711 -8.084 -6.397 0.734 -2.030 6.847" Properties=species:S:1:pos:R:3 pbc="T T T"
Se -4.810 -1.317 3.081
S 1.031 -7.163 -3.717
Se 1.027 -5.213 -2.739
S -6.546 -0.112 3.649
Se -1.578 -2.658 2.377
Se -0.293 -2.180 -1.507
Te -6.305 -1.134 -1.181
Te -0.667 -4.256 0.473
Se -2.509 -5.169 -1.009
Te -2.443 -2.856 -2.684
Se 2.595 -8.448 -0.179
Se -1.871 -4.390 -4.646
Te -2.612 -0.817 4.740
Se -3.859 -0.822 -0.373
```

# Te5Se12S3

An optimized crystal structure of Te5Se12S3 (PBE-GGA, the Alexandria database).

- Magnetization: 0.000 μB/atom
- Energy relative to the elements, uncorrected: 0.354 eV/atom
- Crystal system: cubic

Geometry as extended XYZ:
```
80
Lattice="-15.067 -1.764 0.877 6.837 -13.201 3.146 4.458 10.526 10.012" Properties=species:S:1:pos:R:3 pbc="T T T"
Se -5.522 -9.877 2.847
S 3.727 5.690 9.656
Se -5.415 0.878 10.562
Se -0.369 -7.422 10.276
Se -5.936 -5.938 3.657
Se -11.115 1.893 4.191
Se 9.300 -2.339 11.081
Se 5.950 4.527 9.503
Te -2.320 -10.022 5.804
Te -1.452 5.583 8.231
Se -7.822 -4.593 5.550
Se -8.727 -3.419 1.179
Se -6.612 1.839 5.936
S 4.408 0.519 10.946
Te 2.773 -10.676 4.224
Te -5.567 -1.900 10.243
Se 4.050 0.154 8.485
Te -1.886 -2.219 7.017
Se -3.575 3.835 7.707
Se -2.223 -7.733 4.195
Se 6.460 1.442 12.065
Te -3.384 -2.646 2.367
Se -3.499 -0.640 8.837
Se 3.947 4.836 7.303
Se 4.956 -1.020 12.856
Se 1.964 -3.275 11.339
Te -5.355 -5.626 6.379
Se -10.232 -5.881 1.970
Se 5.648 -4.867 11.825
Te 2.229 5.263 5.006
Se -3.894 -1.765 4.975
Se 2.164 1.499 10.378
S -3.509 1.842 9.237
Te -6.545 6.237 9.811
Se -13.071 -2.100 2.954
Se -5.736 -1.163 2.696
Te 0.000 0.000 0.000
Se -3.183 -4.671 7.864
Te 3.419 -6.600 1.573
Te -8.688 1.735 7.811
S -6.036 -0.456 5.089
S -11.215 -0.562 3.664
Se -1.678 1.345 1.945
S -0.262 -6.281 4.798
Se 1.750 5.438 11.188
S -1.240 1.856 4.367
Te 5.648 -1.337 6.579
Se -9.420 0.428 2.210
Se -1.549 3.294 9.840
Se -3.403 2.983 3.759
Te -5.304 4.381 5.444
Se 7.481 -1.969 8.735
Te 4.916 -6.174 6.224
S -2.531 -6.295 9.668
S 7.443 -3.877 10.371
Se -0.197 -8.274 6.328
Te 1.584 1.187 7.656
Se 3.261 7.959 10.631
Se -7.718 -9.275 6.732
Se -7.902 -0.734 6.749
Se -7.033 -12.398 3.403
Se -0.273 -3.799 5.197
Te -4.115 -7.483 2.012
Se -11.253 -2.470 5.300
Se 2.840 -6.278 8.099
Se 0.122 -2.674 9.060
S -7.499 -10.129 4.379
Se -0.589 0.232 6.171
Se 4.131 -3.705 7.286
Te -0.388 -1.793 11.668
S 2.264 -3.983 8.946
Te -7.534 -0.882 0.438
Te 1.795 -2.539 3.792
S -8.179 -4.958 3.089
Se 0.708 2.865 5.592
Se -2.094 -5.784 12.090
Se -4.480 -7.303 8.443
Se 7.343 -6.332 9.844
Se -9.721 -8.966 4.532
Se 1.643 -5.317 3.473
```

# Th6Te3SeS2

An optimized crystal structure of Th6Te3SeS2 (PBE-GGA, the Alexandria database).

- Magnetization: 0.000 μB/atom
- Energy relative to the elements, uncorrected: -1.386 eV/atom
- Crystal system: monoclinic

Geometry as extended XYZ:
```
12
Lattice="-0.961 -5.799 4.340 6.533 1.260 -3.022 0.035 5.498 5.307" Properties=species:S:1:pos:R:3 pbc="T T T"
Te 5.348 2.876 0.813
Th 0.071 -1.164 2.722
Te 2.803 0.479 3.313
S 4.045 -1.084 -0.577
Th 1.575 3.097 4.572
Th 2.665 1.279 0.174
Th 4.032 -2.139 2.053
Th 2.941 -0.322 6.452
Te 0.259 -1.918 5.813
Th 5.535 2.122 3.903
Se 0.000 0.000 0.000
S 1.527 -3.456 1.896
```

# TlTe2Se2S6

An optimized crystal structure of TlTe2Se2S6 (PBE-GGA, the Alexandria database).

- Magnetization: 0.000 μB/atom
- Energy relative to the elements, uncorrected: 0.089 eV/atom
- Crystal system: triclinic

Geometry as extended XYZ:
```
11
Lattice="8.341 0.928 -1.012 5.067 7.260 -0.814 -1.301 -4.135 6.363" Properties=species:S:1:pos:R:3 pbc="T T T"
S 8.472 0.590 1.736
S 10.253 6.111 -0.983
S 6.197 2.183 -0.416
Tl 3.520 -1.604 2.675
Se 3.976 1.580 3.912
S 3.634 3.463 2.801
Te 7.825 0.133 4.368
Se 8.130 2.473 0.625
Te 4.281 3.920 0.169
S 5.910 1.870 4.953
S 1.853 -2.058 5.520
```

# Tl2TeSeS

An optimized crystal structure of Tl2TeSeS (PBE-GGA, the Alexandria database).

- Magnetization: 0.061 μB/atom
- Energy relative to the elements, uncorrected: 0.147 eV/atom
- Crystal system: tetragonal

Geometry as extended XYZ:
```
5
Lattice="-0.592 -5.937 -0.930 4.601 -0.437 -0.139 0.090 -0.943 5.963" Properties=species:S:1:pos:R:3 pbc="T T T"
Tl 0.045 -0.472 2.982
Te 2.050 -3.658 2.447
Tl -0.296 -2.968 -0.465
S 2.301 -0.218 -0.069
Se 0.000 0.000 0.000
```

# Tl6TeSe2S

An optimized crystal structure of Tl6TeSe2S (PBE-GGA, the Alexandria database).

- Magnetization: 0.000 μB/atom
- Energy relative to the elements, uncorrected: -0.269 eV/atom
- Crystal system: triclinic

Geometry as extended XYZ:
```
10
Lattice="-4.502 6.382 -2.794 -7.167 -1.390 -1.881 -5.854 2.810 4.474" Properties=species:S:1:pos:R:3 pbc="T T T"
Tl -8.599 0.934 -1.427
Tl -5.841 4.464 -0.745
Tl -11.677 3.648 0.731
Se -10.017 8.550 1.494
Tl -7.587 2.574 2.008
Tl -10.365 5.594 -2.564
Te -4.336 1.384 -0.861
Tl -8.073 6.283 1.488
S -12.720 6.213 -1.510
Se -9.040 4.105 -0.763
```

# TlTe2Se6S2

An optimized crystal structure of TlTe2Se6S2 (PBE-GGA, the Alexandria database).

- Magnetization: 0.000 μB/atom
- Energy relative to the elements, uncorrected: 0.043 eV/atom
- Crystal system: triclinic

Geometry as extended XYZ:
```
11
Lattice="-3.803 3.786 5.572 -10.891 -0.308 4.803 6.424 -3.198 2.450" Properties=species:S:1:pos:R:3 pbc="T T T"
Te -6.311 0.698 3.829
Se -5.469 3.036 5.626
S -3.866 -2.118 5.286
Se -2.349 1.965 6.954
Te -1.959 -0.418 8.996
Se -2.802 -2.756 7.200
Se -4.441 -0.347 9.887
Se -5.922 -1.685 5.871
Se -3.829 0.628 2.938
S -4.404 2.399 7.539
Tl 1.310 0.294 4.011
```